VASP calculation (PBE-GGA) on Sc2HgRh2 after structural relaxation.

The formation energy from the elements is -0.414 eV per atom. Its mass density is 8.099 g/cm3. The final energy comes out at -29.7 eV per formula unit.

The space group is I4/mmm (No. 139) and the conventional cell measures 3.8179, 3.8179 and 13.9625 Å, with angles of 90.00, 90.00 and 90.00 degrees. The asymmetric unit holds Sc at (0.0000, 0.0000, 0.1196), Hg at (0.0000, 0.0000, 0.5000) and Rh at (0.0000, 0.5000, 0.2500).


VASP calculation (PBE-GGA) on CsNa2Zn2Sb2 after structural relaxation.

Its mass density is 3.930 g/cm3. The final energy comes out at -16.4 eV per formula unit. Its formation energy from raw total energies is -302 meV/atom.

The space group is C2/m (No. 12) and the conventional cell measures 10.4646, 4.5195 and 10.5321 Å, with angles of 90.00, 110.18 and 90.00 degrees. The asymmetric unit holds Cs at (0.0000, 0.0000, 0.0000), Na at (0.1156, 0.0000, 0.3986), Zn at (0.0995, 0.5000, 0.6179) and Sb at (0.2156, 0.0000, 0.7297).